Record 1
The following is a DFT calculation (PBE) of Li12BiPd6 after structural relaxation.

a = 9.6418 Å, b = 9.6418 Å, c = 11.6464 Å
α = 90.00°, β = 90.00°, γ = 120.00°
Space group R-3 (No. 148, hexagonal axes)
Asymmetric unit:
Li: 0.0297 0.1990 0.3108 [18 per cell]
Li: 0.0598 0.8362 0.9166 [18 per cell]
Bi: 0.0000 0.0000 0.5000 [3 per cell]
Pd: 0.0090 0.4289 0.2007 [18 per cell]

- energy of formation (eV per atom) = -0.308
- crystal system = trigonal
- magnetization (μB/f.u.) = 0.000


Record 2
The following is a DFT calculation (PBE) of PaBeOs2 after structural relaxation.

a = 4.144 Å, b = 4.144 Å, c = 3.737 Å
α = 90.00°, β = 90.00°, γ = 90.00°
Space group P4/mmm (No. 123)
Asymmetric unit:
Pa: 0.000 0.000 0.000 [1 per cell]
Be: 0.500 0.500 0.000 [1 per cell]
Os: 0.000 0.500 0.500 [2 per cell]

- energy of formation (eV per atom) = -0.146
- crystal system = tetragonal
- ΔE to the lowest computed polymorph (meV per atom) = 0
- magnetization (μB/f.u.) = 0.000